[1]
MnV2Se6: relaxed, PBE-GGA.

Results
- DOS at the Fermi energy: 2.5 states/eV/cell
- ρ: 5.135 Mg/m³
- Total energy: -53.9 eV/cell
- Formation energy from raw total energies: -5.6 eV/f.u.
- Size of the total moment: 4.79 μB per cell

a = 3.391 Å, b = 7.511 Å, c = 9.021 Å
α = 113.70°, β = 90.00°, γ = 103.05°
Fractional positions:
Mn  0.000  0.000  0.500
V  0.676  0.352  0.850
V  0.324  0.648  0.150
Se  0.305  0.610  0.865
Se  0.695  0.390  0.135
Se  0.961  0.923  0.206
Se  0.631  0.261  0.544
Se  0.039  0.077  0.794
Se  0.369  0.739  0.456



[2]
Mn2VSe: relaxed, PBE-GGA.

Results
- DOS at the Fermi energy: 8.8 states/eV/cell
- ρ: 6.515 Mg/m³
- Total energy: -59.3 eV/cell
- Formation energy from raw total energies: 1.3 eV/f.u.
- Size of the total moment: 8.69 μB per cell

a = 6.871 Å, b = 6.871 Å, c = 5.505 Å
α = 51.39°, β = 51.39°, γ = 90.00°
Fractional positions:
Mn  0.631  0.125  0.250
Mn  0.119  0.625  0.250
Mn  0.375  0.369  0.750
Mn  0.875  0.881  0.750
Se  0.000  0.000  0.000
Se  0.750  0.250  0.500
V  0.500  0.500  0.000
V  0.250  0.750  0.500



[3]
Mn2VSe4: relaxed, PBE-GGA.

Results
- DOS at the Fermi energy: 3.2 states/eV/cell
- ρ: 5.911 Mg/m³
- Total energy: -45.1 eV/cell
- Formation energy from raw total energies: -3.7 eV/f.u.
- Size of the total moment: 8.68 μB per cell

a = 3.594 Å, b = 6.498 Å, c = 6.852 Å
α = 118.73°, β = 105.20°, γ = 90.00°
Fractional positions:
Mn  0.747  0.782  0.495
Mn  0.253  0.218  0.505
V  0.000  0.000  0.000
Se  0.888  0.224  0.776
Se  0.112  0.776  0.224
Se  0.632  0.293  0.264
Se  0.368  0.707  0.736



[4]
MnVSe2: relaxed, PBE-GGA.

Results
- DOS at the Fermi energy: 4.1 states/eV/cell
- ρ: 6.559 Mg/m³
- Total energy: -25.8 eV/cell
- Formation energy from raw total energies: -0.5 eV/f.u.
- Size of the total moment: 1.88 μB per cell

a = 4.554 Å, b = 4.554 Å, c = 4.554 Å
α = 60.00°, β = 60.00°, γ = 60.00°
Fractional positions:
Mn  0.500  0.500  0.500
Se  0.250  0.250  0.250
Se  0.750  0.750  0.750
V  0.000  0.000  0.000